Density functional theory data (PBE with a Hubbard U) for Na2CeVO4 after structural relaxation.

Computed properties:
VASP energy   -6.7610 eV/atom

Geometry as POSCAR:
```
Na2CeVO4
1.0
5.567 0.000 0.000
0.000 3.435 0.000
-1.843 0.000 5.563
Na Ce V O
2 1 1 4
Direct
0.000 0.000 0.000
0.500 0.500 0.000
0.000 0.500 0.500
0.500 0.000 0.500
0.242 0.000 0.717
0.273 0.500 0.292
0.727 0.500 0.708
0.758 0.000 0.283
```